Record 1
VASP calculation (PBE) on a relaxed structure of CrCu2.

Lattice parameters (Å, degrees): 5.254 3.808 7.842 90.00 90.00 90.00
Fractional coordinates of all 12 atoms:
Cr1 0.140 0.250 0.910
Cr2 0.360 0.750 0.410
Cr3 0.640 0.250 0.590
Cr4 0.860 0.750 0.090
Cu1 0.112 0.250 0.250
Cu2 0.137 0.250 0.581
Cu3 0.363 0.750 0.081
Cu4 0.388 0.750 0.750
Cu5 0.612 0.250 0.250
Cu6 0.637 0.250 0.919
Cu7 0.863 0.750 0.419
Cu8 0.888 0.750 0.750

Computed properties:
ρ: 7.58 g/cm3
Energy: -5.6024 eV per atom
E_form: 0.34 eV/atom

Record 2
VASP calculation (PBE) on a relaxed structure of Ti2GaSn.

Lattice parameters (Å, degrees): 3.827 3.892 5.362 90.00 110.96 90.00
Fractional coordinates of all 4 atoms:
Ti1 0.213 0.500 0.964
Ti2 0.944 0.000 0.429
Ga1 0.684 0.000 0.907
Sn1 0.489 0.500 0.518

Computed properties:
ρ: 6.33 g/cm3
Energy: -5.9992 eV per atom
E_form: -0.29 eV/atom

Record 3
VASP calculation (PBE) on a relaxed structure of As2CSeCl.

Lattice parameters (Å, degrees): 4.852 4.852 5.151 90.00 90.00 90.00
Fractional coordinates of all 5 atoms:
As1 0.000 0.500 0.000
As2 0.500 0.000 0.000
C1 0.500 0.500 0.500
Se1 0.000 0.000 0.500
Cl1 0.000 0.000 0.000

Computed properties:
ρ: 3.78 g/cm3
Polymorph energy (0 for the lowest one): 6.08 eV per formula unit
Energy relative to the elements, uncorrected: 2.3475 eV per atom
Energy: -2.4233 eV per atom

Record 4
VASP calculation (PBE) on a relaxed structure of MnNb2Fe3.

Lattice parameters (Å, degrees): 4.825 4.825 4.821 90.04 120.02 119.96
Fractional coordinates of all 6 atoms:
Mn1 0.000 0.000 0.000
Nb1 0.749 0.375 0.124
Nb2 0.251 0.625 0.876
Fe1 0.500 0.500 0.500
Fe2 0.000 0.000 0.500
Fe3 0.500 0.000 0.500

Computed properties:
ρ: 8.54 g/cm3
Energy: -9.2513 eV per atom
E_form: -0.14 eV/atom

Record 5
VASP calculation (PBE) on a relaxed structure of ZnSiNi.

Lattice parameters (Å, degrees): 5.633 5.633 6.845 113.44 113.44 91.91
Fractional coordinates of all 12 atoms:
Si1 0.169 0.169 0.338
Si2 0.831 0.831 0.662
Si3 0.081 0.581 0.162
Si4 0.419 0.919 0.838
Zn1 0.625 0.875 0.250
Zn2 0.625 0.375 0.750
Zn3 0.625 0.375 0.250
Zn4 0.125 0.375 0.750
Ni1 0.414 0.914 0.500
Ni2 0.164 0.164 0.000
Ni3 0.086 0.586 0.500
Ni4 0.836 0.836 0.000

Computed properties:
ρ: 5.68 g/cm3
Energy relative to the elements, uncorrected: -0.0682 eV per atom
Energy: -4.2276 eV per atom

Record 6
VASP calculation (PBE) on a relaxed structure of KAc2Cd.

Lattice parameters (Å, degrees): 3.986 3.986 13.597 81.57 81.57 60.00
Fractional coordinates of all 4 atoms:
Ac1 0.103 0.103 0.690
Ac2 0.897 0.897 0.310
K1 0.000 0.000 0.000
Cd1 0.500 0.500 0.500

Computed properties:
ρ: 5.45 g/cm3
Energy: -2.4534 eV per atom
E_form: 0.10 eV/atom

Record 7
VASP calculation (PBE) on a relaxed structure of Na3NpF8.

Lattice parameters (Å, degrees): 5.490 5.490 6.707 114.16 114.16 90.00
Fractional coordinates of all 12 atoms:
Na1 0.750 0.250 0.500
Na2 0.500 0.500 0.000
Na3 0.250 0.750 0.500
Np1 0.000 0.000 0.000
F1 0.347 0.347 0.232
F2 0.347 0.885 0.232
F3 0.115 0.653 0.768
F4 0.115 0.115 0.768
F5 0.885 0.885 0.232
F6 0.885 0.347 0.232
F7 0.653 0.115 0.768
F8 0.653 0.653 0.768

Computed properties:
ρ: 4.61 g/cm3
Energy relative to the elements, uncorrected: -3.0695 eV per atom
Energy: -5.7252 eV per atom

Record 8
VASP calculation (PBE) on a relaxed structure of Pm2ZrBi2N2.

Lattice parameters (Å, degrees): 4.305 4.305 8.934 103.94 103.94 90.00
Fractional coordinates of all 7 atoms:
Pm1 0.404 0.404 0.808
Pm2 0.596 0.596 0.192
Zr1 0.000 0.000 0.000
Bi1 0.192 0.192 0.385
Bi2 0.808 0.808 0.615
N1 0.000 0.500 0.000
N2 0.500 0.000 0.000

Computed properties:
ρ: 8.83 g/cm3
Energy relative to the elements, uncorrected: -0.9957 eV per atom
Energy: -7.0617 eV per atom

Record 9
VASP calculation (PBE) on a relaxed structure of Tb6Y2HoEr.

Lattice parameters (Å, degrees): 9.532 8.783 8.783 117.75 93.75 93.75
Fractional coordinates of all 20 atoms:
Tb1 0.056 0.123 0.753
Tb2 0.444 0.247 0.877
Tb3 0.944 0.877 0.247
Tb4 0.556 0.753 0.123
Tb5 0.314 0.983 0.431
Tb6 0.186 0.569 0.017
Tb7 0.686 0.017 0.569
Tb8 0.814 0.431 0.983
Tb9 0.120 0.709 0.493
Tb10 0.380 0.507 0.291
Tb11 0.880 0.291 0.507
Tb12 0.620 0.493 0.709
Y1 0.456 0.802 0.699
Y2 0.044 0.301 0.198
Y3 0.544 0.198 0.301
Y4 0.956 0.699 0.802
Ho1 0.250 0.975 0.025
Ho2 0.750 0.025 0.975
Er1 0.250 0.409 0.591
Er2 0.750 0.591 0.409

Computed properties:
ρ: 7.53 g/cm3
Energy: -4.8620 eV per atom
E_form: 0.12 eV/atom

Record 10
VASP calculation (PBE) on a relaxed structure of MgBeO2.

Lattice parameters (Å, degrees): 4.719 5.184 6.078 90.00 90.00 90.00
Fractional coordinates of all 16 atoms:
Mg1 0.992 0.599 0.379
Mg2 0.492 0.401 0.621
Mg3 0.492 0.901 0.879
Mg4 0.992 0.099 0.121
Be1 0.006 0.570 0.875
Be2 0.506 0.930 0.375
Be3 0.006 0.070 0.625
Be4 0.506 0.430 0.125
O1 0.419 0.109 0.151
O2 0.419 0.609 0.349
O3 0.919 0.891 0.849
O4 0.919 0.391 0.651
O5 0.856 0.454 0.098
O6 0.356 0.546 0.902
O7 0.356 0.046 0.598
O8 0.856 0.954 0.402

Computed properties:
ρ: 2.92 g/cm3
Energy relative to the elements, uncorrected: -2.6534 eV per atom
Energy: -6.4627 eV per atom

Record 11
VASP calculation (PBE) on a relaxed structure of Sr2DySn3Au4.

Lattice parameters (Å, degrees): 4.700 4.700 11.929 90.00 90.00 90.00
Fractional coordinates of all 10 atoms:
Sr1 0.500 0.000 0.225
Sr2 0.000 0.500 0.775
Dy1 0.500 0.500 0.500
Sn1 0.000 0.000 0.500
Sn2 0.500 0.000 0.873
Sn3 0.000 0.500 0.127
Au1 0.500 0.500 0.000
Au2 0.000 0.000 0.000
Au3 0.500 0.000 0.646
Au4 0.000 0.500 0.354

Computed properties:
ρ: 9.34 g/cm3
Energy: -3.9483 eV per atom
E_form: -0.64 eV/atom

Record 12
VASP calculation (PBE) on a relaxed structure of ReO2F.

Lattice parameters (Å, degrees): 3.640 3.640 3.640 60.00 60.00 60.00
Fractional coordinates of all 4 atoms:
Re1 0.500 0.500 0.500
O1 0.250 0.250 0.250
O2 0.750 0.750 0.750
F1 0.000 0.000 0.000

Computed properties:
ρ: 11.55 g/cm3
Polymorph energy (0 for the lowest one): 3.91 eV per formula unit
Energy relative to the elements, uncorrected: -0.4754 eV per atom
Energy: -6.5344 eV per atom

Record 13
VASP calculation (PBE) on a relaxed structure of MnBeRe2.

Lattice parameters (Å, degrees): 4.106 2.659 4.681 79.04 90.00 90.00
Fractional coordinates of all 4 atoms:
Re1 0.000 0.013 0.970
Re2 0.500 0.197 0.283
Mn1 0.500 0.651 0.754
Be1 0.000 0.639 0.493

Computed properties:
ρ: 14.44 g/cm3
Energy: -9.3910 eV per atom
E_form: 0.06 eV/atom

Record 14
VASP calculation (PBE) on a relaxed structure of P2PtPb.

Lattice parameters (Å, degrees): 4.101 4.306 4.306 90.00 90.00 90.00
Fractional coordinates of all 4 atoms:
P1 0.000 0.000 0.000
P2 0.000 0.500 0.500
Pb1 0.500 0.500 0.000
Pt1 0.500 0.000 0.500

Computed properties:
ρ: 10.14 g/cm3
Energy: -4.5973 eV per atom
E_form: 0.54 eV/atom

Record 15
VASP calculation (PBE) on a relaxed structure of PrSm7Er4.

Lattice parameters (Å, degrees): 7.188 9.516 9.503 69.16 79.19 40.86
Fractional coordinates of all 12 atoms:
Pr1 0.000 0.000 0.000
Sm1 0.751 0.501 0.000
Sm2 0.249 0.499 0.000
Sm3 0.001 0.334 0.664
Sm4 0.999 0.666 0.336
Sm5 0.250 0.834 0.664
Sm6 0.500 0.000 0.000
Sm7 0.750 0.166 0.336
Er1 0.503 0.665 0.336
Er2 0.497 0.335 0.664
Er3 0.749 0.835 0.665
Er4 0.251 0.165 0.335

Computed properties:
ρ: 7.85 g/cm3
Polymorph energy (0 for the lowest one): 0.00 eV per formula unit
Energy: -4.6547 eV per atom
E_form: 0.02 eV/atom

Record 16
VASP calculation (PBE) on a relaxed structure of AcNdHg4.

Lattice parameters (Å, degrees): 6.140 6.140 6.140 60.00 60.00 60.00
Fractional coordinates of all 6 atoms:
Ac1 0.250 0.250 0.250
Nd1 0.000 0.000 0.000
Hg1 0.625 0.625 0.124
Hg2 0.625 0.124 0.625
Hg3 0.625 0.625 0.625
Hg4 0.124 0.625 0.625

Computed properties:
ρ: 11.90 g/cm3
Polymorph energy (0 for the lowest one): 0.78 eV per formula unit
Energy: -1.9883 eV per atom
E_form: -0.31 eV/atom

Record 17
VASP calculation (PBE) on a relaxed structure of La2Tb6Sc.

Lattice parameters (Å, degrees): 3.408 10.003 10.003 120.00 90.00 90.00
Fractional coordinates of all 9 atoms:
La1 0.500 0.667 0.333
La2 0.500 0.333 0.667
Tb1 0.256 0.000 0.315
Tb2 0.256 0.685 0.685
Tb3 0.744 0.000 0.685
Tb4 0.744 0.685 0.000
Tb5 0.744 0.315 0.315
Tb6 0.256 0.315 0.000
Sc1 0.000 0.000 0.000

Computed properties:
ρ: 7.18 g/cm3
Polymorph energy (0 for the lowest one): 0.57 eV per formula unit
Energy: -4.7249 eV per atom
E_form: 0.16 eV/atom

Record 18
VASP calculation (PBE) on a relaxed structure of BaLi2Ir.

Lattice parameters (Å, degrees): 3.504 3.512 6.472 90.00 90.00 90.00
Fractional coordinates of all 4 atoms:
Ba1 0.500 0.500 0.250
Ir1 0.500 0.500 0.750
Li1 0.000 0.000 0.914
Li2 0.000 0.000 0.586

Computed properties:
ρ: 7.16 g/cm3
Polymorph energy (0 for the lowest one): 0.70 eV per formula unit
Energy: -3.4476 eV per atom
E_form: 0.21 eV/atom

Record 19
VASP calculation (PBE) on a relaxed structure of La3Y6Ho2.

Lattice parameters (Å, degrees): 5.769 5.769 13.322 77.50 77.50 60.00
Fractional coordinates of all 11 atoms:
La1 0.000 0.000 0.000
La2 0.730 0.730 0.809
La3 0.270 0.270 0.191
Y1 0.908 0.908 0.275
Y2 0.092 0.092 0.725
Y3 0.821 0.821 0.537
Y4 0.179 0.179 0.463
Y5 0.636 0.636 0.093
Y6 0.364 0.364 0.907
Ho1 0.545 0.545 0.366
Ho2 0.455 0.455 0.634

Computed properties:
ρ: 5.72 g/cm3
Energy: -5.5973 eV per atom
E_form: 0.10 eV/atom

Record 20
VASP calculation (PBE) on a relaxed structure of ZnP2Os.

Lattice parameters (Å, degrees): 7.382 7.382 7.382 24.21 24.21 24.21
Fractional coordinates of all 4 atoms:
Os1 0.750 0.750 0.750
P1 0.005 0.005 0.005
P2 0.495 0.495 0.495
Zn1 0.250 0.250 0.250

Computed properties:
ρ: 8.87 g/cm3
Energy: -5.7191 eV per atom
E_form: 0.11 eV/atom

Record 21
VASP calculation (PBE) on a relaxed structure of Sm2LuSc.

Lattice parameters (Å, degrees): 4.809 5.004 5.004 90.00 90.00 90.00
Fractional coordinates of all 4 atoms:
Sc1 0.500 0.000 0.000
Lu1 0.500 0.500 0.500
Sm1 0.000 0.000 0.500
Sm2 0.000 0.500 0.000

Computed properties:
ρ: 7.18 g/cm3
Polymorph energy (0 for the lowest one): 0.01 eV per formula unit
Energy: -5.0289 eV per atom
E_form: 0.04 eV/atom

Record 22
VASP calculation (PBE) on a relaxed structure of CrH2Cl5.

Lattice parameters (Å, degrees): 7.244 7.243 7.244 78.77 126.69 126.68
Fractional coordinates of all 8 atoms:
Cr1 0.000 0.966 0.966
H1 0.500 0.935 0.435
H2 0.500 0.435 0.935
Cl1 0.161 0.774 0.250
Cl2 0.476 0.250 0.089
Cl3 0.524 0.613 0.774
Cl4 0.839 0.089 0.613
Cl5 0.000 0.160 0.161

Computed properties:
ρ: 1.62 g/cm3
Energy: -3.8840 eV per atom

Record 23
VASP calculation (PBE) on a relaxed structure of CePuMgPt.

Lattice parameters (Å, degrees): 4.949 4.949 4.949 60.00 60.00 60.00
Fractional coordinates of all 4 atoms:
Mg1 0.000 0.000 0.000
Ce1 0.500 0.500 0.500
Pt1 0.250 0.250 0.250
Pu1 0.750 0.750 0.750

Computed properties:
ρ: 11.69 g/cm3
Energy: -7.3952 eV per atom
E_form: -0.42 eV/atom

Record 24
VASP calculation (PBE) on a relaxed structure of KVGaW2.

Lattice parameters (Å, degrees): 4.554 5.905 4.554 90.00 90.00 90.00
Fractional coordinates of all 5 atoms:
K1 0.000 0.500 0.000
Ga1 0.500 0.500 0.500
W1 0.000 0.000 0.500
W2 0.500 0.000 0.000
V1 0.000 0.000 0.000

Computed properties:
ρ: 7.15 g/cm3
Energy: -5.9530 eV per atom
E_form: 1.88 eV/atom

Record 25
VASP calculation (PBE) on a relaxed structure of ZrAgCl2.

Lattice parameters (Å, degrees): 6.061 6.061 6.061 143.34 143.34 52.81
Fractional coordinates of all 4 atoms:
Zr1 0.500 0.500 0.000
Ag1 0.750 0.250 0.500
Cl1 0.000 0.000 0.000
Cl2 0.250 0.750 0.500

Computed properties:
ρ: 5.68 g/cm3
Polymorph energy (0 for the lowest one): 2.70 eV per formula unit
Energy relative to the elements, uncorrected: -0.2469 eV per atom
Energy: -4.0201 eV per atom